No. 1
{
  "formula": "Mg2ZrH2",
  "functional": "PBE",
  "state": "optimized geometry",
  "cell": [[-4.360, 3.887, -1.016], [-1.259, 0.102, 5.793], [2.774, 3.254, 0.545]],
  "species": ["H", "H", "H", "H", "Mg", "Mg", "Mg", "Mg", "Zr", "Zr"],
  "fractional_positions": [[0.215, 0.715, 0.000], [0.715, 0.785, 0.000], [0.785, 0.285, 0.000], [0.285, 0.215, 0.000], [0.185, 0.685, 0.500], [0.685, 0.815, 0.500], [0.815, 0.315, 0.500], [0.315, 0.185, 0.500], [0.000, 0.000, 0.000], [0.500, 0.500, 0.000]],
  "spacegroup": "P4/mbm (127)",
  "total_energy_ev_per_cell": -36.939,
  "total_magnetization_mub_per_cell": 0.00,
  "relative_energy_ev_per_fu": 0.00
}

---

No. 2
{
  "formula": "Mg3ZrH",
  "functional": "PBE",
  "state": "optimized geometry",
  "cell": [[4.483, 0.000, 0.000], [0.000, 4.483, 0.000], [0.000, 0.000, 4.483]],
  "species": ["H", "Mg", "Mg", "Mg", "Zr"],
  "fractional_positions": [[0.000, 0.000, 0.000], [0.000, 0.500, 0.000], [0.000, 0.000, 0.500], [0.500, 0.000, 0.000], [0.500, 0.500, 0.500]],
  "spacegroup": "Pm-3m (221)",
  "total_energy_ev_per_cell": -15.916,
  "total_magnetization_mub_per_cell": 1.55
}

---

Number 2 is which compound? Mg3ZrH

---

Repeat the second record exactly.
{
  "formula": "Mg3ZrH",
  "functional": "PBE",
  "state": "optimized geometry",
  "cell": [[4.483, 0.000, 0.000], [0.000, 4.483, 0.000], [0.000, 0.000, 4.483]],
  "species": ["H", "Mg", "Mg", "Mg", "Zr"],
  "fractional_positions": [[0.000, 0.000, 0.000], [0.000, 0.500, 0.000], [0.000, 0.000, 0.500], [0.500, 0.000, 0.000], [0.500, 0.500, 0.500]],
  "spacegroup": "Pm-3m (221)",
  "total_energy_ev_per_cell": -15.916,
  "total_magnetization_mub_per_cell": 1.55
}